Record 1
12
Lattice="4.324 0.000 0.000 -2.162 3.745 0.000 0.000 0.000 13.855" Properties=species:S:1:pos:R:3 comment="GGA-PBE NdGa3Pt2, relaxed" e_form_ev_per_atom=-0.805 crystal_system=hexagonal pbc="T T T"
Nd 0.000 0.000 3.464
Nd 0.000 0.000 10.391
Ga 0.000 0.000 0.000
Ga 0.000 0.000 6.927
Ga 0.000 2.496 1.697
Ga 0.000 2.496 5.230
Ga 2.162 1.248 8.625
Ga 2.162 1.248 12.157
Pt 0.000 2.496 8.019
Pt 0.000 2.496 12.763
Pt 2.162 1.248 1.091
Pt 2.162 1.248 5.836



Record 2
16
Lattice="7.523 0.000 0.000 0.000 7.178 0.000 0.000 0.000 5.773" Properties=species:S:1:pos:R:3 comment="GGA-PBE NdGaPt2, relaxed" e_form_ev_per_atom=-1.015 crystal_system=orthorhombic pbc="T T T"
Nd 0.216 1.794 0.833
Nd 3.546 5.383 3.719
Nd 3.977 1.794 2.054
Nd 7.307 5.383 4.940
Ga 0.895 5.383 2.056
Ga 2.866 1.794 4.942
Ga 4.657 5.383 0.831
Ga 6.628 1.794 3.717
Pt 1.363 0.380 3.382
Pt 1.363 3.209 3.382
Pt 2.399 3.969 0.496
Pt 2.399 6.798 0.496
Pt 5.124 0.380 5.276
Pt 5.124 3.209 5.276
Pt 6.160 3.969 2.390
Pt 6.160 6.798 2.390



Record 3
14
Lattice="3.935 0.000 0.000 0.000 4.475 0.000 0.000 0.000 19.486" Properties=species:S:1:pos:R:3 comment="GGA-PBE Nd3Ga3Pt, relaxed" e_form_ev_per_atom=-0.742 crystal_system=orthorhombic pbc="T T T"
Nd 0.000 0.000 0.000
Nd 0.000 0.000 7.250
Nd 0.000 2.238 3.763
Nd 1.968 0.000 13.506
Nd 1.968 2.238 9.743
Nd 1.968 2.238 16.993
Ga 0.000 0.000 10.702
Ga 0.000 0.000 16.180
Ga 0.000 2.238 12.211
Ga 1.968 0.000 2.469
Ga 1.968 2.238 0.959
Ga 1.968 2.238 6.437
Pt 0.000 2.238 14.757
Pt 1.968 0.000 5.014



Record 4
11
Lattice="-2.006 2.172 13.135 2.006 -2.172 13.135 2.006 2.172 -13.135" Properties=species:S:1:pos:R:3 comment="GGA-PBE Nd3Ga4Pt4, relaxed" e_form_ev_per_atom=-0.957 crystal_system=orthorhombic relative_energy_kj_per_mol_fu=56 pbc="T T T"
Nd 0.000 0.000 0.000
Nd 2.006 0.000 9.332
Nd 0.000 2.172 3.802
Ga 2.006 0.000 5.092
Ga 0.000 0.000 11.869
Ga 0.000 0.000 14.401
Ga 0.000 2.172 8.043
Pt 2.006 0.000 2.567
Pt 0.000 0.000 6.635
Pt 0.000 0.000 19.634
Pt 0.000 2.172 10.568



Record 5
4
Lattice="3.650 0.000 0.000 0.000 3.650 0.000 0.000 0.000 7.374" Properties=species:S:1:pos:R:3 comment="GGA-PBE Nd2GaPt, relaxed" e_form_ev_per_atom=-0.785 crystal_system=tetragonal pbc="T T T"
Nd 0.000 0.000 1.748
Nd 0.000 0.000 5.626
Ga 1.825 1.825 3.687
Pt 1.825 1.825 0.000



Record 6
10
Lattice="5.461 -2.217 0.000 5.461 2.217 0.000 -4.977 0.000 9.656" Properties=species:S:1:pos:R:3 comment="GGA-PBE Nd2Ga2Pt, relaxed" e_form_ev_per_atom=-0.837 crystal_system=monoclinic pbc="T T T"
Nd -1.543 0.000 3.185
Nd 1.492 0.000 1.165
Nd 4.453 0.000 8.491
Nd 7.488 0.000 6.471
Ga 1.603 0.000 4.328
Ga 4.681 0.000 1.074
Ga 1.264 0.000 8.582
Ga 4.342 0.000 5.328
Pt -0.297 0.000 6.385
Pt 6.242 0.000 3.271



Record 7
20
Lattice="8.388 0.000 0.000 0.000 4.320 0.000 0.000 0.000 10.973" Properties=species:S:1:pos:R:3 comment="GGA-PBE NdGa3Pt, relaxed" e_form_ev_per_atom=-0.760 crystal_system=orthorhombic relative_energy_kj_per_mol_fu=0 pbc="T T T"
Nd 1.647 1.080 0.229
Nd 2.547 3.240 5.715
Nd 5.841 1.080 5.258
Nd 6.741 3.240 10.745
Ga 0.558 1.080 6.464
Ga 0.965 3.240 8.967
Ga 1.192 3.240 2.377
Ga 3.002 1.080 7.863
Ga 3.229 1.080 3.480
Ga 3.636 3.240 0.977
Ga 4.752 1.080 9.997
Ga 5.158 3.240 7.493
Ga 5.386 3.240 3.110
Ga 7.196 1.080 8.597
Ga 7.423 1.080 2.006
Ga 7.830 3.240 4.510
Pt 0.735 1.080 3.843
Pt 3.459 3.240 9.329
Pt 4.929 1.080 1.644
Pt 7.653 3.240 7.131



Record 8
24
Lattice="12.042 0.000 0.000 0.000 4.260 0.000 0.000 0.000 11.883" Properties=species:S:1:pos:R:3 comment="GGA-PBE Nd3GaPt2, relaxed" e_form_ev_per_atom=-0.898 crystal_system=orthorhombic pbc="T T T"
Nd 0.633 1.065 1.479
Nd 1.523 3.195 6.750
Nd 2.454 1.065 9.683
Nd 3.566 3.195 3.742
Nd 4.498 1.065 0.808
Nd 5.388 3.195 7.421
Nd 6.654 1.065 4.462
Nd 7.544 3.195 11.074
Nd 8.475 1.065 8.140
Nd 9.587 3.195 2.199
Nd 10.519 1.065 5.133
Nd 11.408 3.195 10.403
Ga 1.502 1.065 4.427
Ga 4.519 3.195 10.368
Ga 7.523 1.065 1.514
Ga 10.540 3.195 7.456
Pt 0.137 3.195 3.729
Pt 2.169 3.195 11.748
Pt 3.852 1.065 5.807
Pt 5.884 1.065 9.670
Pt 6.158 3.195 2.212
Pt 8.190 3.195 6.076
Pt 9.873 1.065 0.134
Pt 11.905 1.065 8.153



Record 9
28
Lattice="6.782 -3.908 0.000 6.782 3.908 0.000 -4.508 0.000 9.289" Properties=species:S:1:pos:R:3 comment="GGA-PBE Nd2Ga3Pt9, relaxed" e_form_ev_per_atom=-0.836 crystal_system=monoclinic pbc="T T T"
Nd 1.184 0.659 2.318
Nd -1.070 -0.659 6.963
Nd 10.127 0.659 2.326
Nd 7.873 -0.659 6.971
Ga 3.391 1.954 0.000
Ga 3.312 2.118 4.651
Ga 3.490 2.118 9.282
Ga 1.137 -1.954 4.644
Ga 5.566 -2.118 0.006
Ga 5.744 -2.118 4.638
Pt 5.646 3.206 0.728
Pt 5.664 3.206 3.916
Pt 1.199 0.629 5.332
Pt 4.219 1.453 2.353
Pt 1.182 0.653 8.650
Pt 3.453 -0.629 0.688
Pt 3.401 1.035 6.967
Pt 7.092 1.453 2.291
Pt 3.436 -0.653 4.005
Pt 5.620 0.653 5.283
Pt 1.965 -1.453 6.998
Pt 5.655 -1.035 2.322
Pt 5.604 0.629 8.601
Pt 7.874 -0.653 0.639
Pt 4.838 -1.453 6.935
Pt 7.858 -0.629 3.957
Pt 3.392 -3.206 5.373
Pt 3.410 -3.206 8.560



Record 10
14
Lattice="7.987 -2.234 0.000 7.987 2.234 0.000 -5.146 0.000 7.582" Properties=species:S:1:pos:R:3 comment="GGA-PBE Nd3Ga8Pt3, relaxed" e_form_ev_per_atom=-0.790 crystal_system=monoclinic relative_energy_kj_per_mol_fu=0 pbc="T T T"
Nd 0.000 0.000 0.000
Nd 3.112 0.000 2.271
Nd 7.718 0.000 5.311
Ga 0.022 0.000 3.229
Ga -2.023 0.000 6.599
Ga 1.853 0.000 5.408
Ga 6.272 0.000 2.441
Ga 4.557 0.000 5.141
Ga 8.976 0.000 2.175
Ga 12.852 0.000 0.983
Ga 10.807 0.000 4.353
Pt -2.573 0.000 3.791
Pt 0.489 0.000 7.551
Pt 10.341 0.000 0.031



Record 11
19
Lattice="4.675 2.699 4.482 -4.675 2.699 4.482 0.000 -5.399 4.482" Properties=species:S:1:pos:R:3 comment="GGA-PBE Nd2Ga2Pt15, relaxed" e_form_ev_per_atom=-0.505 crystal_system=trigonal pbc="T T T"
Nd 0.000 0.000 2.045
Nd 0.000 0.000 11.402
Ga 0.000 0.000 5.376
Ga 0.000 0.000 8.070
Pt -2.338 -1.350 4.482
Pt 0.000 -2.709 4.408
Pt -2.346 1.354 4.408
Pt -1.494 -2.588 6.723
Pt -2.989 0.000 6.723
Pt -2.346 -1.354 9.038
Pt -2.338 1.350 8.964
Pt 1.494 -2.588 6.723
Pt 0.000 2.699 4.482
Pt -1.494 2.588 6.723
Pt 2.346 1.354 4.408
Pt 2.989 0.000 6.723
Pt 1.494 2.588 6.723
Pt 2.346 -1.354 9.038
Pt 0.000 2.709 9.038



Record 12
11
Lattice="-2.118 3.620 7.255 2.118 -3.620 7.255 2.118 3.620 -7.255" Properties=species:S:1:pos:R:3 comment="GGA-PBE Nd3Ga4Pt4, relaxed" e_form_ev_per_atom=-1.010 crystal_system=orthorhombic relative_energy_kj_per_mol_fu=0 pbc="T T T"
Nd 0.000 0.000 0.000
Nd 2.118 0.000 5.432
Nd 0.000 3.620 1.823
Ga 2.118 1.424 -2.510
Ga 2.118 1.424 2.510
Ga 0.000 2.196 4.745
Ga 0.000 2.196 9.765
Pt 0.000 0.000 3.112
Pt 2.118 2.159 0.000
Pt 0.000 1.461 7.255
Pt 0.000 0.000 11.398